# 1
Below is crystalline ScGa2Sn2 at its relaxed geometry, with properties calculated at the PBE level.

Cell lengths 7.493, 7.493, 3.924 Å; angles 90.00, 90.00, 90.00 degrees
Atoms (fractional coordinates):
Ga: 0.372 0.872 0.000
Ga: 0.628 0.128 0.000
Ga: 0.128 0.372 0.000
Ga: 0.872 0.628 0.000
Sn: 0.830 0.330 0.500
Sn: 0.170 0.670 0.500
Sn: 0.670 0.830 0.500
Sn: 0.330 0.170 0.500
Sc: 0.500 0.500 0.000
Sc: 0.000 0.000 0.000

Calculated values
**Offset from the most stable computed form**: 47 meV per atom
**Mass density**: 6.4 Mg/m³
**Symmetry**: P4/mbm (127)
**Calculated formation energy**: -0.177 eV/atom

# 2
Below is crystalline Sc7Ga5Sn at its relaxed geometry, with properties calculated at the PBE level.

Cell lengths 5.614, 7.499, 7.499 Å; angles 83.70, 68.02, 68.02 degrees
Atoms (fractional coordinates):
Sc: 0.606 0.394 0.394
Sc: 0.245 0.755 0.755
Sc: 0.011 0.315 0.663
Sc: 0.535 0.801 0.130
Sc: 0.276 0.224 0.224
Sc: 0.535 0.130 0.801
Sc: 0.011 0.663 0.315
Sn: 0.935 0.065 0.065
Ga: 0.514 0.993 0.474
Ga: 0.019 0.993 0.474
Ga: 0.514 0.474 0.993
Ga: 0.019 0.474 0.993
Ga: 0.780 0.720 0.720

Calculated values
**Mass density**: 4.8 Mg/m³
**Symmetry**: Imm2 (44)
**Calculated formation energy**: -0.405 eV/atom

# 3
Below is crystalline Sc4Ga5Sn at its relaxed geometry, with properties calculated at the PBE level.

Cell lengths 7.096, 9.373, 6.302 Å; angles 90.00, 90.00, 90.00 degrees
Atoms (fractional coordinates):
Sn: 0.535 0.500 0.500
Sn: 0.465 0.000 0.000
Ga: 0.171 0.195 0.209
Ga: 0.171 0.805 0.791
Ga: 0.844 0.500 0.000
Ga: 0.156 0.000 0.500
Ga: 0.171 0.805 0.209
Ga: 0.829 0.695 0.291
Ga: 0.829 0.305 0.291
Ga: 0.829 0.695 0.709
Ga: 0.171 0.195 0.791
Ga: 0.829 0.305 0.709
Sc: 0.176 0.500 0.248
Sc: 0.497 0.178 0.500
Sc: 0.503 0.322 0.000
Sc: 0.824 0.000 0.252
Sc: 0.503 0.678 0.000
Sc: 0.497 0.822 0.500
Sc: 0.176 0.500 0.752
Sc: 0.824 0.000 0.748

Calculated values
**Mass density**: 5.1 Mg/m³
**Symmetry**: Pmmn (59)
**Calculated formation energy**: -0.309 eV/atom

# 4
Below is crystalline Sc2GaSn2 at its relaxed geometry, with properties calculated at the PBE level.

Cell lengths 7.387, 7.387, 4.226 Å; angles 90.00, 90.00, 90.00 degrees
Atoms (fractional coordinates):
Sc: 0.329 0.171 0.500
Sc: 0.829 0.329 0.500
Sc: 0.671 0.829 0.500
Sc: 0.171 0.671 0.500
Sn: 0.863 0.637 0.000
Sn: 0.137 0.363 0.000
Sn: 0.363 0.863 0.000
Sn: 0.637 0.137 0.000
Ga: 0.500 0.500 0.000
Ga: 0.000 0.000 0.000

Calculated values
**Offset from the most stable computed form**: 34 meV per atom
**Mass density**: 5.7 Mg/m³
**Symmetry**: P4/mbm (127)
**Calculated formation energy**: -0.394 eV/atom

# 5
Below is crystalline Sc8GaSn2 at its relaxed geometry, with properties calculated at the PBE level.

Cell lengths 4.778, 6.187, 9.311 Å; angles 105.50, 104.87, 90.00 degrees
Atoms (fractional coordinates):
Sc: 0.219 0.316 0.438
Sc: 0.781 0.684 0.562
Sc: 0.410 0.532 0.821
Sc: 0.017 0.774 0.034
Sc: 0.348 0.999 0.696
Sc: 0.590 0.468 0.179
Sc: 0.983 0.226 0.966
Sc: 0.652 0.001 0.304
Sn: 0.822 0.252 0.645
Sn: 0.178 0.748 0.355
Ga: 0.500 0.000 0.000

Calculated values
**Mass density**: 4.3 Mg/m³
**Symmetry**: C2/m (12)
**Calculated formation energy**: -0.368 eV/atom

# 6
Below is crystalline Sc7Ga4Sn at its relaxed geometry, with properties calculated at the PBE level.

Cell lengths 5.329, 8.330, 6.989 Å; angles 67.13, 67.59, 71.34 degrees
Atoms (fractional coordinates):
Sc: 0.742 0.296 0.221
Sc: 0.500 0.000 0.000
Sc: 0.923 0.418 0.737
Sc: 0.810 0.868 0.511
Sc: 0.190 0.132 0.489
Sc: 0.077 0.582 0.263
Sc: 0.258 0.704 0.779
Ga: 0.473 0.675 0.378
Ga: 0.315 0.338 0.031
Ga: 0.685 0.662 0.969
Ga: 0.527 0.325 0.622
Sn: 0.000 0.000 0.000

Calculated values
**Mass density**: 4.6 Mg/m³
**Symmetry**: C2/m (12)
**Calculated formation energy**: -0.317 eV/atom

# 7
Below is crystalline Sc2GaSn2 at its relaxed geometry, with properties calculated at the PBE level.

Cell lengths 7.310, 7.310, 4.372 Å; angles 90.00, 90.00, 90.00 degrees
Atoms (fractional coordinates):
Sc: 0.837 0.663 0.000
Sc: 0.663 0.163 0.000
Sc: 0.337 0.837 0.000
Sc: 0.163 0.337 0.000
Sn: 0.646 0.854 0.500
Sn: 0.354 0.146 0.500
Sn: 0.854 0.354 0.500
Sn: 0.146 0.646 0.500
Ga: 0.500 0.500 0.000
Ga: 0.000 0.000 0.000

Calculated values
**Offset from the most stable computed form**: 0 meV per atom
**Mass density**: 5.6 Mg/m³
**Symmetry**: P4/mbm (127)
**Calculated formation energy**: -0.428 eV/atom

# 8
Below is crystalline Sc7Ga2Sn2 at its relaxed geometry, with properties calculated at the PBE level.

Cell lengths 6.215, 7.340, 6.215 Å; angles 90.00, 109.95, 90.00 degrees
Atoms (fractional coordinates):
Sn: 0.303 0.000 0.697
Sn: 0.697 0.000 0.303
Ga: 0.174 0.500 0.174
Ga: 0.826 0.500 0.826
Sc: 0.000 0.000 0.000
Sc: 0.500 0.711 0.500
Sc: 0.500 0.289 0.500
Sc: 0.000 0.300 0.500
Sc: 0.000 0.700 0.500
Sc: 0.500 0.700 0.000
Sc: 0.500 0.300 0.000

Calculated values
**Mass density**: 4.3 Mg/m³
**Symmetry**: Cmmm (65)
**Calculated formation energy**: -0.222 eV/atom